First-principles (PBE) data for a relaxed ReGeTe2I crystal, as listed in Alexandria.

The uncorrected formation energy comes out at 839 meV/atom. Its energy relative to the lowest polymorph listed for this composition is 0.000 eV per atom.

The space group is P4/mmm (No. 123) and the conventional cell measures 5.1615, 5.1615 and 5.7123 Å, with angles of 90.00, 90.00 and 90.00 degrees. The inequivalent atoms are Re at (0.0000, 0.0000, 0.0000), Ge at (0.5000, 0.5000, 0.5000), Te at (0.0000, 0.5000, 0.0000) and I at (0.0000, 0.0000, 0.5000).